This record from the Alexandria database describes a relaxed structure of Bi3O3F. The functional is PBE.

a = 6.8341 Å, b = 6.8341 Å, c = 18.7482 Å
α = 90.00°, β = 90.00°, γ = 120.00°
With the nearest neighbours (Å) after each atom.
Space group R-3 (No. 148, hexagonal axes)
One atom of each set of equivalent atoms:
Bi: 0.0131 0.3019 0.0888 (multiplicity 18)  4 O 2.28-2.43
O: 0.0190 0.3120 0.2105 (multiplicity 18)  4 Bi 2.28-2.43
F: 0.0000 0.0000 0.3455 (multiplicity 6)  3 Bi 2.76

The density of states at the Fermi level is 7.06 states/eV/cell. As for the raw formation energy: -1.169 eV/atom.